Computed, not measured: a geometry-optimized Li2PAu structure at the GGA-PBEsol level of DFT.

The structure belongs to space group C2/c (No. 15); the cell edges are 7.955, 5.555 and 6.688 Å and the angles 90.00°, 108.65° and 90.00°. The distinct sites, in fractional coordinates, are Li at (0.197, 0.072, 0.125), P at (0.000, 0.202, 0.750) and Au at (0.000, 0.500, 0.000).

The value obtained for the formation energy from the elements is -0.572 eV/atom.

Computed, not measured: a geometry-optimized Li2PAu structure at the GGA-PBEsol level of DFT.

The structure belongs to space group Pmm2 (No. 25); the cell edges are 2.662, 4.099 and 5.336 Å and the angles 90.00°, 90.00° and 90.00°. The distinct sites, in fractional coordinates, are Li at (0.000, 0.000, 0.000), Li at (0.500, 0.500, 0.301), P at (0.000, 0.000, 0.488) and Au at (0.500, 0.500, 0.806).

The value obtained for the formation energy from the elements is -0.314 eV/atom.

no.,volume (Å³/cell)
1,280
2,58